(1)
An optimized crystal structure of ThTcGeH, computed with GGA-PBE.

- calculated density (g cm⁻³) = 10.08
- DFT total energy (eV per atom) = -6.9692

a = 4.2650 Å, b = 4.2650 Å, c = 7.3142 Å
α = 90.00°, β = 90.00°, γ = 90.00°
Space group P4/nmm (No. 129, origin choice 2)
Symmetry-distinct sites (fractional):
1 Th 0.2500 0.2500 0.1754 (multiplicity 2)
2 Tc 0.2500 0.7500 0.5000 (multiplicity 2)
3 Ge 0.2500 0.2500 0.6877 (multiplicity 2)
4 H 0.2500 0.7500 0.0000 (multiplicity 2)

=====

(2)
An optimized crystal structure of Zr4ScCd10, computed with GGA-PBE.

- calculated density (g cm⁻³) = 7.84
- DFT total energy (eV per atom) = -3.4180

a = 13.5032 Å, b = 8.4487 Å, c = 5.8145 Å
α = 90.00°, β = 101.72°, γ = 90.00°
Space group C2/m (No. 12)
Symmetry-distinct sites (fractional):
1 Zr 0.1008 0.0000 0.4036 (multiplicity 4)
2 Zr 0.2052 0.5000 0.7985 (multiplicity 4)
3 Sc 0.0000 0.5000 0.0000 (multiplicity 2)
4 Cd 0.0000 0.3345 0.5000 (multiplicity 4)
5 Cd 0.0997 0.1675 0.8999 (multiplicity 8)
6 Cd 0.2005 0.3336 0.2987 (multiplicity 8)

=====

(3)
An optimized crystal structure of LiHfTlAu, computed with GGA-PBE.

- calculated density (g cm⁻³) = 12.52
- DFT total energy (eV per atom) = -4.6088

a = 6.7769 Å, b = 6.7769 Å, c = 6.7769 Å
α = 90.00°, β = 90.00°, γ = 90.00°
Space group F-43m (No. 216)
Symmetry-distinct sites (fractional):
1 Li 0.0000 0.0000 0.0000 (multiplicity 4)
2 Hf 0.0000 0.0000 0.5000 (multiplicity 4)
3 Tl 0.2500 0.2500 0.7500 (multiplicity 4)
4 Au 0.2500 0.2500 0.2500 (multiplicity 4)

=====

(4)
An optimized crystal structure of KFeGe2, computed with GGA-PBE.

- calculated density (g cm⁻³) = 5.00
- DFT total energy (eV per atom) = -4.0654

a = 6.8339 Å, b = 6.8339 Å, c = 6.8339 Å
α = 90.00°, β = 90.00°, γ = 90.00°
Space group Fm-3m (No. 225)
Symmetry-distinct sites (fractional):
1 K 0.0000 0.0000 0.0000 (multiplicity 4)
2 Fe 0.0000 0.0000 0.5000 (multiplicity 4)
3 Ge 0.2500 0.2500 0.2500 (multiplicity 8)

=====

(5)
An optimized crystal structure of Ba2Ga7Ge, computed with GGA-PBE.

- calculated density (g cm⁻³) = 5.93
- DFT total energy (eV per atom) = -3.3848

a = 4.6847 Å, b = 4.6847 Å, c = 10.6605 Å
α = 90.00°, β = 90.00°, γ = 90.00°
Space group P-4m2 (No. 115)
Symmetry-distinct sites (fractional):
1 Ba 0.0000 0.5000 0.2502 (multiplicity 2)
2 Ga 0.0000 0.0000 0.0000 (multiplicity 1)
3 Ga 0.0000 0.0000 0.5000 (multiplicity 1)
4 Ga 0.0000 0.5000 0.6262 (multiplicity 2)
5 Ga 0.0000 0.5000 0.8736 (multiplicity 2)
6 Ga 0.5000 0.5000 0.5000 (multiplicity 1)
7 Ge 0.5000 0.5000 0.0000 (multiplicity 1)

=====

(6)
An optimized crystal structure of YSb2TeI, computed with GGA-PBE.

- relative energy among the computed polymorphs (meV per atom) = 472
- calculated density (g cm⁻³) = 5.30
- DFT total energy (eV per atom) = -3.2814
- E_form (uncorrected) (eV per atom) = 0.599

a = 5.7195 Å, b = 5.7195 Å, c = 5.6182 Å
α = 90.00°, β = 90.00°, γ = 90.00°
Space group P4/mmm (No. 123)
Symmetry-distinct sites (fractional):
1 Y 0.0000 0.0000 0.0000 (multiplicity 1)
2 Sb 0.0000 0.5000 0.5000 (multiplicity 2)
3 Te 0.5000 0.5000 0.0000 (multiplicity 1)
4 I 0.5000 0.5000 0.5000 (multiplicity 1)